The following is a DFT calculation (PBEsol) of a geometry-optimized TaB structure.

abc: 4.622 4.622 3.145
angles: 90.00 90.00 138.56
Fractional positions:
Ta (0.854, 0.146, 0.750)
Ta (0.146, 0.854, 0.250)
B (0.560, 0.440, 0.750)
B (0.440, 0.560, 0.250)

## Properties
total DFT energy (no corrections)	-10.66	eV/atom
total magnetization	0.0	μB per cell
ΔE_f	-1.76	eV/f.u.
SG	Cmcm, No. 63
density	14.32	g/cm3

=====

The following is a DFT calculation (PBEsol) of a geometry-optimized TaB2 structure.

abc: 3.089 3.089 3.284
angles: 90.00 90.00 120.00
Fractional positions:
B (0.333, 0.667, 0.500)
B (0.667, 0.333, 0.500)
Ta (0.000, 0.000, 0.000)

## Properties
total DFT energy (no corrections)	-9.58	eV/atom
total magnetization	0.0	μB per cell
ΔE_f	-2.17	eV/f.u.
SG	P6/mmm, No. 191
density	12.39	g/cm3

=====

The following is a DFT calculation (PBEsol) of a geometry-optimized Ta3BTe structure.

abc: 4.924 4.924 4.924
angles: 90.00 90.00 90.00
Fractional positions:
Ta (0.000, 0.500, 0.000)
Ta (0.500, 0.000, 0.000)
Ta (0.000, 0.000, 0.500)
B (0.500, 0.500, 0.500)
Te (0.000, 0.000, 0.000)

## Properties
E_form (uncorrected)	2832	meV/atom
total DFT energy (no corrections)	-6.81	eV/atom
total magnetization	0.0	μB per cell
SG	Pm-3m, No. 221
density	9.47	g/cm3

=====

The following is a DFT calculation (PBEsol) of a geometry-optimized Ta3TiB4 structure.

abc: 3.115 3.255 8.617
angles: 90.00 90.00 90.00
Fractional positions:
B (0.000, 0.500, 0.945)
B (0.000, 0.000, 0.438)
B (0.500, 0.000, 0.558)
B (0.500, 0.500, 0.062)
Ti (0.000, 0.000, 0.145)
Ta (0.000, 0.500, 0.645)
Ta (0.500, 0.500, 0.351)
Ta (0.500, 0.000, 0.857)

## Properties
total DFT energy (no corrections)	-10.16	eV/atom
total magnetization	0.0	μB per cell
ΔE_f	-7.23	eV/f.u.
SG	Pmm2, No. 25
density	12.05	g/cm3

=====

The following is a DFT calculation (PBEsol) of a geometry-optimized Ta2TiB2 structure.

abc: 3.237 6.080 6.080
angles: 90.00 90.00 90.00
Fractional positions:
B (0.000, 0.107, 0.393)
B (0.000, 0.607, 0.107)
B (0.000, 0.393, 0.893)
B (0.000, 0.893, 0.607)
Ta (0.500, 0.679, 0.821)
Ta (0.500, 0.821, 0.321)
Ta (0.500, 0.321, 0.179)
Ta (0.500, 0.179, 0.679)
Ti (0.000, 0.000, 0.000)
Ti (0.000, 0.500, 0.500)

## Properties
total DFT energy (no corrections)	-10.22	eV/atom
total magnetization	0.0	μB per cell
ΔE_f	-3.66	eV/f.u.
SG	P4/mbm, No. 127
density	11.97	g/cm3

=====

The following is a DFT calculation (PBEsol) of a geometry-optimized TaTl2B structure.

abc: 4.804 4.804 4.804
angles: 60.00 60.00 60.00
Each line ends with the local moment (μB).
Fractional positions:
Tl (0.250, 0.250, 0.250)  0.03
Tl (0.750, 0.750, 0.750)  0.03
B (0.000, 0.000, 0.000)  0.00
Ta (0.500, 0.500, 0.500)  1.07

## Properties
total DFT energy (no corrections)	-4.57	eV/atom
total magnetization	1.6	μB per cell
ΔE_f	6.54	eV/f.u.
SG	Fm-3m, No. 225
density	12.72	g/cm3

=====

The following is a DFT calculation (PBEsol) of a geometry-optimized Ta2VB2 structure.

abc: 3.221 5.965 5.965
angles: 90.00 90.00 90.00
Fractional positions:
Ta (0.500, 0.319, 0.181)
Ta (0.500, 0.181, 0.681)
Ta (0.500, 0.681, 0.819)
Ta (0.500, 0.819, 0.319)
B (0.000, 0.110, 0.390)
B (0.000, 0.890, 0.610)
B (0.000, 0.390, 0.890)
B (0.000, 0.610, 0.110)
V (0.000, 0.500, 0.500)
V (0.000, 0.000, 0.000)

## Properties
total DFT energy (no corrections)	-10.55	eV/atom
total magnetization	0.0	μB per cell
ΔE_f	-3.99	eV/f.u.
SG	P4/mbm, No. 127
density	12.59	g/cm3

=====

The following is a DFT calculation (PBEsol) of a geometry-optimized TaB3W structure.

abc: 3.996 3.996 3.996
angles: 90.00 90.00 90.00
Fractional positions:
B (0.000, 0.500, 0.000)
B (0.000, 0.000, 0.500)
B (0.500, 0.000, 0.000)
W (0.000, 0.000, 0.000)
Ta (0.500, 0.500, 0.500)

## Properties
total DFT energy (no corrections)	-8.24	eV/atom
total magnetization	0.0	μB per cell
ΔE_f	6.21	eV/f.u.
SG	Pm-3m, No. 221
density	10.34	g/cm3

=====

The following is a DFT calculation (PBEsol) of a geometry-optimized YTa3B structure.

abc: 4.481 4.481 4.481
angles: 90.00 90.00 90.00
Fractional positions:
Ta (0.000, 0.500, 0.000)
Ta (0.000, 0.000, 0.500)
Ta (0.500, 0.000, 0.000)
B (0.000, 0.000, 0.000)
Y (0.500, 0.500, 0.500)

## Properties
total DFT energy (no corrections)	-10.13	eV/atom
total magnetization	0.0	μB per cell
ΔE_f	0.84	eV/f.u.
SG	Pm-3m, No. 221
density	11.86	g/cm3

=====

The following is a DFT calculation (PBEsol) of a geometry-optimized TaZnB2 structure.

abc: 4.920 4.920 4.920
angles: 107.10 107.10 114.33
Fractional positions:
B (0.625, 0.151, 0.026)
B (0.125, 0.599, 0.974)
B (0.401, 0.375, 0.526)
B (0.849, 0.875, 0.474)
Zn (0.750, 0.250, 0.500)
Zn (0.500, 0.500, 0.000)
Ta (0.000, 0.000, 0.000)
Ta (0.250, 0.750, 0.500)

## Properties
total DFT energy (no corrections)	-6.55	eV/atom
total magnetization	0.0	μB per cell
ΔE_f	1.95	eV/f.u.
SG	I-42d, No. 122
density	9.76	g/cm3

=====

The following is a DFT calculation (PBEsol) of a geometry-optimized ZrTa3B structure.

abc: 4.772 4.772 4.772
angles: 90.00 90.00 90.00
Fractional positions:
Ta (0.000, 0.000, 0.500)
Ta (0.500, 0.000, 0.000)
Ta (0.000, 0.500, 0.000)
Zr (0.000, 0.000, 0.000)
B (0.500, 0.500, 0.500)

## Properties
total DFT energy (no corrections)	-7.90	eV/atom
total magnetization	0.0	μB per cell
ΔE_f	14.26	eV/f.u.
SG	Pm-3m, No. 221
density	9.86	g/cm3

=====

The following is a DFT calculation (PBEsol) of a geometry-optimized ZrTaB3 structure.

abc: 4.117 4.117 4.117
angles: 90.00 90.00 90.00
Fractional positions:
B (0.500, 0.000, 0.000)
B (0.000, 0.000, 0.500)
B (0.000, 0.500, 0.000)
Ta (0.000, 0.000, 0.000)
Zr (0.500, 0.500, 0.500)

## Properties
total DFT energy (no corrections)	-7.83	eV/atom
total magnetization	0.0	μB per cell
ΔE_f	3.55	eV/f.u.
SG	Pm-3m, No. 221
density	7.25	g/cm3

=====

The following is a DFT calculation (PBEsol) of a geometry-optimized TbB4 structure.

abc: 3.998 7.074 7.074
angles: 90.00 90.00 90.00
Fractional positions:
B (0.500, 0.413, 0.913)
B (0.797, 0.000, 0.000)
B (0.500, 0.961, 0.824)
B (0.203, 0.500, 0.500)
B (0.203, 0.000, 0.000)
B (0.500, 0.087, 0.413)
B (0.500, 0.461, 0.676)
B (0.500, 0.913, 0.587)
B (0.500, 0.039, 0.176)
B (0.500, 0.676, 0.539)
B (0.500, 0.824, 0.039)
B (0.500, 0.539, 0.324)
B (0.500, 0.176, 0.961)
B (0.500, 0.587, 0.087)
B (0.797, 0.500, 0.500)
B (0.500, 0.324, 0.461)
Tb (0.000, 0.184, 0.684)
Tb (0.000, 0.816, 0.316)
Tb (0.000, 0.316, 0.184)
Tb (0.000, 0.684, 0.816)

## Properties
total DFT energy (no corrections)	-7.26	eV/atom
total magnetization	0.0	μB per cell
ΔE_f	-3.22	eV/f.u.
SG	P4/mbm, No. 127
density	6.71	g/cm3

=====

The following is a DFT calculation (PBEsol) of a geometry-optimized Tb3B7W structure.

abc: 3.443 8.156 9.450
angles: 90.00 90.00 102.19
Fractional positions:
B (0.273, 0.545, 0.468)
B (0.520, 0.040, 0.908)
B (0.365, 0.730, 0.353)
B (0.727, 0.455, 0.532)
B (0.480, 0.960, 0.408)
B (0.635, 0.270, 0.647)
B (0.480, 0.960, 0.092)
B (0.543, 0.087, 0.250)
B (0.520, 0.040, 0.592)
B (0.635, 0.270, 0.853)
B (0.365, 0.730, 0.147)
B (0.273, 0.545, 0.032)
B (0.727, 0.455, 0.968)
B (0.457, 0.913, 0.750)
Tb (0.107, 0.213, 0.439)
Tb (0.107, 0.213, 0.061)
Tb (0.893, 0.787, 0.939)
Tb (0.244, 0.489, 0.750)
Tb (0.756, 0.511, 0.250)
Tb (0.893, 0.787, 0.561)
W (0.946, 0.892, 0.250)
W (0.054, 0.108, 0.750)

## Properties
total DFT energy (no corrections)	-7.72	eV/atom
total magnetization	0.0	μB per cell
ΔE_f	-6.99	eV/f.u.
SG	Cmcm, No. 63
density	9.43	g/cm3

=====

The following is a DFT calculation (PBEsol) of a geometry-optimized Tc3B structure.

abc: 2.881 4.802 7.155
angles: 90.00 90.00 107.46
Fractional positions:
Tc (0.135, 0.269, 0.439)
Tc (0.135, 0.269, 0.061)
Tc (0.865, 0.731, 0.561)
Tc (0.426, 0.851, 0.250)
Tc (0.574, 0.149, 0.750)
Tc (0.865, 0.731, 0.939)
B (0.744, 0.488, 0.250)
B (0.256, 0.512, 0.750)

## Properties
total DFT energy (no corrections)	-10.51	eV/atom
total magnetization	0.0	μB per cell
ΔE_f	-1.21	eV/f.u.
SG	Cmcm, No. 63
density	10.72	g/cm3

=====

The following is a DFT calculation (PBEsol) of a geometry-optimized Tc3BTe structure.

abc: 4.755 4.755 4.755
angles: 90.00 90.00 90.00
Each line ends with the local moment (μB).
Fractional positions:
B (0.500, 0.500, 0.500)  0.01
Te (0.000, 0.000, 0.000)  -0.04
Tc (0.000, 0.000, 0.500)  0.95
Tc (0.000, 0.500, 0.000)  0.95
Tc (0.500, 0.000, 0.000)  0.95

## Properties
E_form (uncorrected)	2865	meV/atom
total DFT energy (no corrections)	-6.00	eV/atom
total magnetization	3.0	μB per cell
SG	Pm-3m, No. 221
density	6.68	g/cm3

=====

The following is a DFT calculation (PBEsol) of a geometry-optimized TlTcB3 structure.

abc: 4.194 4.194 4.194
angles: 90.00 90.00 90.00
Fractional positions:
B (0.000, 0.000, 0.500)
B (0.500, 0.000, 0.000)
B (0.000, 0.500, 0.000)
Tc (0.000, 0.000, 0.000)
Tl (0.500, 0.500, 0.500)

## Properties
total DFT energy (no corrections)	-5.95	eV/atom
total magnetization	0.0	μB per cell
ΔE_f	5.21	eV/f.u.
SG	Pm-3m, No. 221
density	7.54	g/cm3

=====

The following is a DFT calculation (PBEsol) of a geometry-optimized TcB3W structure.

abc: 3.882 3.882 3.882
angles: 90.00 90.00 90.00
Fractional positions:
B (0.500, 0.000, 0.000)
B (0.000, 0.500, 0.000)
B (0.000, 0.000, 0.500)
Tc (0.000, 0.000, 0.000)
W (0.500, 0.500, 0.500)

## Properties
total DFT energy (no corrections)	-7.75	eV/atom
total magnetization	0.0	μB per cell
ΔE_f	7.35	eV/f.u.
SG	Pm-3m, No. 221
density	8.92	g/cm3

=====

The following is a DFT calculation (PBEsol) of a geometry-optimized Tc3BW structure.

abc: 4.614 4.614 4.614
angles: 90.00 90.00 90.00
Each line ends with the local moment (μB).
Fractional positions:
W (0.000, 0.000, 0.000)  -0.14
Tc (0.000, 0.500, 0.000)  0.90
Tc (0.500, 0.000, 0.000)  0.90
Tc (0.000, 0.000, 0.500)  0.90
B (0.500, 0.500, 0.500)  -0.02

## Properties
total DFT energy (no corrections)	-8.13	eV/atom
total magnetization	2.7	μB per cell
ΔE_f	14.00	eV/f.u.
SG	Pm-3m, No. 221
density	8.26	g/cm3

=====

The following is a DFT calculation (PBEsol) of a geometry-optimized TcB2W2 structure.

abc: 3.108 5.962 5.962
angles: 90.00 90.00 90.00
Fractional positions:
Tc (0.000, 0.000, 0.000)
Tc (0.000, 0.500, 0.500)
B (0.000, 0.615, 0.115)
B (0.000, 0.885, 0.615)
B (0.000, 0.115, 0.385)
B (0.000, 0.385, 0.885)
W (0.500, 0.329, 0.171)
W (0.500, 0.671, 0.829)
W (0.500, 0.171, 0.671)
W (0.500, 0.829, 0.329)

## Properties
total DFT energy (no corrections)	-10.93	eV/atom
total magnetization	0.0	μB per cell
ΔE_f	-1.71	eV/f.u.
SG	P4/mbm, No. 127
density	14.65	g/cm3